An optimized crystal structure of ZnP2H7NO8. Source: the Alexandria database, functional PBEsol.

a b c (Å): 7.621 8.074 13.052
angles (deg): 90.00 90.00 105.36
Fractional positions:
1 O 0.747 0.657 0.419
2 O 0.029 0.090 0.878
3 O 0.247 0.157 0.081
4 O 0.210 0.592 0.685
5 O 0.912 0.276 0.603
6 O 0.761 0.962 0.572
7 O 0.753 0.843 0.919
8 O 0.412 0.776 0.897
9 O 0.253 0.343 0.581
10 O 0.582 0.187 0.571
11 O 0.201 0.833 0.576
12 O 0.082 0.687 0.929
13 O 0.971 0.910 0.122
14 O 0.739 0.538 0.072
15 O 0.876 0.891 0.739
16 O 0.529 0.590 0.622
17 O 0.088 0.724 0.397
18 O 0.239 0.038 0.428
19 O 0.376 0.391 0.761
20 O 0.418 0.813 0.429
21 O 0.918 0.313 0.071
22 O 0.799 0.167 0.424
23 O 0.701 0.333 0.924
24 O 0.790 0.408 0.315
25 O 0.261 0.462 0.928
26 O 0.471 0.410 0.378
27 O 0.124 0.109 0.261
28 O 0.710 0.092 0.815
29 O 0.290 0.908 0.185
30 O 0.588 0.224 0.103
31 O 0.624 0.609 0.239
32 O 0.299 0.667 0.076
33 H 0.295 0.804 0.130
34 H 0.764 0.455 0.812
35 H 0.264 0.955 0.688
36 H 0.795 0.955 0.202
37 H 0.083 0.383 0.248
38 H 0.549 0.792 0.913
39 H 0.646 0.078 0.195
40 H 0.330 0.430 0.831
41 H 0.205 0.045 0.798
42 H 0.795 0.304 0.370
43 H 0.583 0.883 0.252
44 H 0.705 0.545 0.702
45 H 0.354 0.922 0.805
46 H 0.170 0.070 0.331
47 H 0.830 0.930 0.669
48 H 0.951 0.708 0.413
49 H 0.736 0.045 0.312
50 H 0.236 0.545 0.188
51 H 0.417 0.117 0.748
52 H 0.049 0.292 0.587
53 H 0.146 0.578 0.305
54 H 0.854 0.422 0.695
55 H 0.705 0.196 0.870
56 H 0.205 0.696 0.630
57 H 0.917 0.617 0.752
58 H 0.295 0.455 0.298
59 H 0.451 0.208 0.087
60 H 0.670 0.570 0.169
61 Zn 0.100 0.255 0.988
62 Zn 0.600 0.755 0.512
63 Zn 0.900 0.745 0.012
64 Zn 0.400 0.245 0.488
65 P 0.241 0.853 0.461
66 P 0.657 0.517 0.340
67 P 0.843 0.983 0.840
68 P 0.259 0.647 0.961
69 P 0.157 0.017 0.160
70 P 0.741 0.353 0.039
71 P 0.343 0.483 0.660
72 P 0.759 0.147 0.539
73 N 0.310 0.010 0.760
74 N 0.690 0.990 0.240
75 N 0.190 0.490 0.260
76 N 0.810 0.510 0.740

Electronic total energy ... -6.037 eV per atom
Size of the total moment ... 0.00 μB/f.u.

An optimized crystal structure of Mg2CdTc. Source: the Alexandria database, functional PBEsol.

a b c (Å): 2.935 2.935 9.882
angles (deg): 81.46 81.46 60.00
Each line ends with the local moment (μB).
Fractional positions:
1 Mg 0.757 0.757 0.729  0.00
2 Mg 0.999 0.999 0.004  0.00
3 Tc 0.499 0.499 0.503  0.22
4 Cd 0.245 0.245 0.265  0.00

Electronic total energy ... -3.678 eV per atom
Energy of formation from the pure elements ... 1.187 eV per formula unit
Size of the total moment ... 0.24 μB/f.u.

An optimized crystal structure of SiHgMo2. Source: the Alexandria database, functional PBEsol.

a b c (Å): 3.106 3.118 7.062
angles (deg): 90.00 100.69 90.00
Fractional positions:
1 Mo 0.683 0.500 0.258
2 Mo 0.091 0.000 0.045
3 Hg 0.466 0.500 0.758
4 Si 0.260 0.000 0.439

Electronic total energy ... -7.290 eV per atom
Formation energy without anion corrections ... 0.17 eV/atom
Size of the total moment ... 0.00 μB/f.u.

An optimized crystal structure of BeTeOs2. Source: the Alexandria database, functional PBEsol.

a b c (Å): 3.127 4.267 4.267
angles (deg): 90.00 90.00 90.00
Fractional positions:
1 Os 0.000 0.000 0.500
2 Os 0.000 0.500 0.000
3 Be 0.500 0.000 0.000
4 Te 0.500 0.500 0.500

Electronic total energy ... -7.420 eV per atom
Formation energy without anion corrections ... 0.57 eV/atom
Size of the total moment ... 0.00 μB/f.u.

An optimized crystal structure of FeRhSe2. Source: the Alexandria database, functional PBEsol.

a b c (Å): 3.776 3.774 5.244
angles (deg): 90.12 90.00 90.00
Fractional positions:
1 Se 0.500 0.624 0.357
2 Se 0.000 0.126 0.893
3 Rh 0.500 0.125 0.625
4 Fe 0.000 0.625 0.625

Electronic total energy ... -6.475 eV per atom
Formation energy without anion corrections ... -0.27 eV/atom
Size of the total moment ... 0.00 μB/f.u.

An optimized crystal structure of Rb2LiSi2. Source: the Alexandria database, functional PBEsol.

a b c (Å): 4.982 4.982 7.819
angles (deg): 108.58 108.58 90.00
Fractional positions:
1 Rb 0.750 0.250 0.500
2 Rb 0.250 0.750 0.500
3 Li 0.000 0.000 0.000
4 Si 0.578 0.578 0.156
5 Si 0.422 0.422 0.844

Electronic total energy ... -2.710 eV per atom
Formation energy without anion corrections ... 0.39 eV/atom
Size of the total moment ... 0.00 μB/f.u.

What is the formula in the second record? Mg2CdTc

Among the records above, which one has the highest electronic total energy? Rb2LiSi2